Sm6NiPt2Br3: relaxed, PBE-GGA.

Output
- Calculated total energy: -5.369 eV/atom
- ΔE_f (raw): -25.4 kcal/mol of atoms

abc: 4.136 9.036 9.937
angles: 109.77 102.01 90.00
Positions (direct):
Sm  0.350  0.897  0.700
Sm  0.678  0.553  0.357
Sm  0.650  0.103  0.300
Sm  0.010  0.212  0.019
Sm  0.990  0.788  0.981
Sm  0.322  0.447  0.643
Ni  0.500  0.000  0.000
Pt  0.834  0.671  0.669
Pt  0.166  0.329  0.331
Br  0.500  0.500  0.000
Br  0.834  0.167  0.668
Br  0.166  0.833  0.332



TcNiPtBr2: relaxed, PBE-GGA.

Output
- Calculated total energy: -3.756 eV/atom
- ΔE_f (raw): 31.1 kcal/mol of atoms

abc: 5.043 5.201 5.043
angles: 90.00 90.00 90.00
Last column: magnetic moment on the atom in μB.
Positions (direct):
Ni  0.500  0.500  0.500  0.79
Br  0.000  0.000  0.500  0.02
Br  0.500  0.000  0.000  -0.01
Tc  0.000  0.500  0.000  3.25
Pt  0.000  0.000  0.000  0.17



no.,DOS at the Fermi energy (states/eV/cell),density (g/cm³)
1,10.00,7.7
2,5.04,6.4